Compound: Li3MnVP3O12
Source: the Alexandria database
Functional: PBE with a Hubbard U
Structure: relaxed

## Properties
The calculation puts the total magnetization at 24.0 μB/cell. Its density of states at the Fermi level is 1.21 states/eV/f.u. For the relative energy among the computed polymorphs, the calculation gives 57 meV/atom. The total energy comes out at -6.99 eV/atom.

abc: 10.2783 10.2783 10.2783
angles: 109.47 109.47 109.47
Closest atoms and distances in Å follow each position.
Sites, in units of the cell vectors:
Li 0.1196 0.2500 0.3696  8 O 2.28-2.50
Li 0.1304 0.3804 0.7500  8 O 2.28-2.50
Li 0.2500 0.3696 0.1196  8 O 2.28-2.50
Li 0.2500 0.8696 0.6196  8 O 2.28-2.50
Li 0.3696 0.1196 0.2500  8 O 2.28-2.50
Li 0.3804 0.7500 0.1304  8 O 2.28-2.50
Li 0.6196 0.2500 0.8696  8 O 2.28-2.50
Li 0.6304 0.8804 0.7500  8 O 2.28-2.50
Li 0.7500 0.1304 0.3804  8 O 2.28-2.50
Li 0.7500 0.6304 0.8804  8 O 2.28-2.50
Li 0.8696 0.6196 0.2500  8 O 2.28-2.50
Li 0.8804 0.7500 0.6304  8 O 2.28-2.50
Mn 0.0000 0.0000 0.0000  6 O 2.12
Mn 0.0000 0.5000 0.5000  6 O 2.12
Mn 0.5000 0.0000 0.5000  6 O 2.12
Mn 0.5000 0.5000 0.0000  6 O 2.12
V 0.0000 0.0000 0.5000  6 O 1.98
V 0.0000 0.5000 0.0000  6 O 1.98
V 0.5000 0.0000 0.0000  6 O 1.98
V 0.5000 0.5000 0.5000  6 O 1.98
P 0.1195 0.8695 0.2500  4 O 1.53-1.59
P 0.1305 0.7500 0.8805  4 O 1.53-1.59
P 0.2500 0.1195 0.8695  4 O 1.53-1.59
P 0.2500 0.6195 0.3695  4 O 1.53-1.59
P 0.3695 0.2500 0.6195  4 O 1.53-1.59
P 0.3805 0.6305 0.7500  4 O 1.53-1.59
P 0.6195 0.3695 0.2500  4 O 1.53-1.59
P 0.6305 0.7500 0.3805  4 O 1.53-1.59
P 0.7500 0.3805 0.6305  4 O 1.53-1.59
P 0.7500 0.8805 0.1305  4 O 1.53-1.59
P 0.8695 0.2500 0.1195  4 O 1.53-1.59
P 0.8805 0.1305 0.7500  4 O 1.53-1.59
O 0.0006 0.2159 0.1084  1 P 1.53
O 0.0113 0.3099 0.8864  1 P 1.59
O 0.0765 0.8751 0.3864  1 P 1.59
O 0.1074 0.7159 0.7153  1 P 1.53
O 0.1084 0.0006 0.2159  1 P 1.53
O 0.1078 0.6084 0.3926  1 P 1.53
O 0.1136 0.9887 0.6901  1 P 1.59
O 0.1249 0.6136 0.9235  1 P 1.59
O 0.1901 0.2014 0.5765  1 P 1.59
O 0.2014 0.5765 0.1901  1 P 1.59
O 0.2153 0.4994 0.6078  1 P 1.53
O 0.2159 0.1084 0.0006  1 P 1.53
O 0.2841 0.2847 0.8926  1 P 1.53
O 0.2847 0.8926 0.2841  1 P 1.53
O 0.2986 0.4887 0.3751  1 P 1.59
O 0.3099 0.8864 0.0113  1 P 1.59
O 0.3751 0.2986 0.4887  1 P 1.59
O 0.3864 0.0765 0.8751  1 P 1.59
O 0.3916 0.6074 0.8922  1 P 1.53
O 0.3922 0.7847 0.5006  1 P 1.53
O 0.3926 0.1078 0.6084  1 P 1.53
O 0.4235 0.8099 0.7986  1 P 1.59
O 0.4887 0.3751 0.2986  1 P 1.59
O 0.4994 0.6078 0.2153  1 P 1.53
O 0.5006 0.3922 0.7847  1 P 1.53
O 0.5113 0.6249 0.7014  1 P 1.59
O 0.5765 0.1901 0.2014  1 P 1.59
O 0.6074 0.8922 0.3916  1 P 1.53
O 0.6078 0.2153 0.4994  1 P 1.53
O 0.6084 0.3926 0.1078  1 P 1.53
O 0.6136 0.9235 0.1249  1 P 1.59
O 0.6249 0.7014 0.5113  1 P 1.59
O 0.6901 0.1136 0.9887  1 P 1.59
O 0.7014 0.5113 0.6249  1 P 1.59
O 0.7153 0.1074 0.7159  1 P 1.53
O 0.7159 0.7153 0.1074  1 P 1.53
O 0.7841 0.8916 0.9994  1 P 1.53
O 0.7847 0.5006 0.3922  1 P 1.53
O 0.7986 0.4235 0.8099  1 P 1.59
O 0.8099 0.7986 0.4235  1 P 1.59
O 0.8751 0.3864 0.0765  1 P 1.59
O 0.8864 0.0113 0.3099  1 P 1.59
O 0.8922 0.3916 0.6074  1 P 1.53
O 0.8916 0.9994 0.7841  1 P 1.53
O 0.8926 0.2841 0.2847  1 P 1.53
O 0.9235 0.1249 0.6136  1 P 1.59
O 0.9887 0.6901 0.1136  1 P 1.59
O 0.9994 0.7841 0.8916  1 P 1.53